# TeAsSe2 (PBE-GGA, optimized geometry)
# **Calculated total energy**: -51.41 eV per cell
# **E_form (uncorrected)**: 0.477 eV/atom
# **Crystal system**: cubic
# **Excess energy over the best structure of this formula in the dataset**: 526 meV per atom
# **Calculated density**: 6822 kg/m3
# **Calculated volume**: 21.9 Å³ per atom
data_TeAsSe2
_chemical_formula_sum 'Te4 As4 Se8'
_space_group_name_H-M_alt 'F -4 3 m'
_space_group_IT_number 216
_space_group_name_Hall 'F -4 2 3'
_cell_length_a 7.0535
_cell_length_b 7.0535
_cell_length_c 7.0535
_cell_angle_alpha 90.00
_cell_angle_beta 90.00
_cell_angle_gamma 90.00
loop_
_atom_site_label
_atom_site_type_symbol
_atom_site_fract_x
_atom_site_fract_y
_atom_site_fract_z
Te1 Te 0.0000 0.0000 0.0000
As1 As 0.2500 0.2500 0.2500
Se1 Se 0.0000 0.0000 0.5000
Se2 Se 0.2500 0.2500 0.7500